*one*
First-principles (PBE) data for a relaxed Er2MgS4 crystal, as listed in Alexandria.

The space group is Pnma (No. 62) and the conventional cell measures 13.384, 7.828 and 6.506 Å, with angles of 90.00, 90.00 and 90.00 degrees. The inequivalent atoms are Er at (0.000, 0.000, 0.000), Er at (0.232, 0.250, 0.494), Mg at (0.096, 0.750, 0.421), S at (0.070, 0.250, 0.746), S at (0.090, 0.750, 0.789) and S at (0.171, 0.508, 0.235).

The value obtained for the total magnetic moment is 0.00 μB per formula unit. For the density of states at the Fermi level, the calculation gives 0.00 states/eV/cell. As for the mass density: 4.7 Mg/m³.

*two*
First-principles (PBE) data for a relaxed Er2MgS4 crystal, as listed in Alexandria.

The space group is C2/m (No. 12) and the conventional cell measures 13.939, 3.867 and 6.807 Å, with angles of 90.00, 118.30 and 90.00 degrees. The inequivalent atoms are Er at (0.224, 0.000, 0.216), Mg at (0.000, 0.500, 0.500), S at (0.121, 0.500, 0.925) and S at (0.135, 0.000, 0.494).

The value obtained for the total magnetic moment is 0.00 μB per formula unit. For the density of states at the Fermi level, the calculation gives 0.00 states/eV/cell. As for the mass density: 5.0 Mg/m³.

Relative energy of each structure, in meV/atom: *one* 0; *two* 15.